ScCrCo | Alexandria | GGA-PBEsol | optimized geometry; total DFT energy (no corrections) = -7.96 eV per atom; polymorph energy (0 for the lowest one) = 0 meV per atom; energy relative to the elements = 235 meV per atom; SG = P-6m2, No. 187; crystal system = hexagonal; mass density = 5.89 g/cm³
1.0
3.1094 0.0000 0.0000
0.0000 4.0385 0.0000
0.0000 -2.0192 3.4974
Co Cr Sc
1 1 1
Cartesian
0.0000 0.0000 0.0000
0.0000 0.0000 2.3316
1.5547 2.0192 1.1658

---

CrCo2Si | Alexandria | GGA-PBEsol | optimized geometry; total DFT energy (no corrections) = -8.22 eV per atom; SG = I4/mmm, No. 139; crystal system = tetragonal; mass density = 7.76 g/cm³; ΔE_f (raw) = -0.36 eV per atom
1.0
3.5796 0.0000 0.0000
0.0000 3.5796 0.0000
-1.7898 -1.7898 3.3057
Cr Si Co
1 1 2
Cartesian
0.0000 0.0000 0.0000
1.7898 1.7898 0.0000
1.7898 0.0000 1.6529
0.0000 1.7898 1.6529

---

CrCoSi | Alexandria | GGA-PBEsol | optimized geometry; total DFT energy (no corrections) = -7.82 eV per atom; SG = F-43m, No. 216; crystal system = cubic; mass density = 5.89 g/cm³; ΔE_f (raw) = 0.09 eV per atom
1.0
3.8134 0.0000 0.0000
1.9067 3.3025 0.0000
1.9067 1.1008 3.1136
Co Cr Si
1 1 1
Cartesian
0.0000 0.0000 0.0000
3.8134 2.2017 1.5568
1.9067 1.1008 0.7784

---

CrCo2Si | Alexandria | GGA-PBEsol | optimized geometry; total DFT energy (no corrections) = -8.15 eV per atom; SG = P4/mmm, No. 123; crystal system = tetragonal; mass density = 7.61 g/cm³; ΔE_f (raw) = -0.29 eV per atom
1.0
-0.3348 0.6572 -2.7927
1.9027 -3.2192 -0.9857
-3.3368 -1.9539 -0.0598
Cr Si Co
1 1 2
Cartesian
-0.8844 -2.2580 -1.9191
-0.1674 0.3286 -1.3964
-1.6684 -0.9769 -0.0299
0.9513 -1.6096 -0.4928

---

CrCoSi3 | Alexandria | GGA-PBEsol | optimized geometry; total DFT energy (no corrections) = -6.25 eV per atom; SG = Pm-3m, No. 221; crystal system = cubic; mass density = 4.04 g/cm³; ΔE_f (raw) = 0.79 eV per atom
1.0
-0.5806 4.1120 -1.1695
-3.6699 0.1260 2.2649
2.1928 1.2996 3.4808
Cr Si Co
1 3 1
Cartesian
0.0000 0.0000 0.0000
-1.8349 0.0630 1.1324
1.0964 0.6498 1.7404
-0.2903 2.0560 -0.5848
-1.0288 2.7688 2.2881

---

CrCoSi | Alexandria | GGA-PBEsol | optimized geometry; total DFT energy (no corrections) = -8.20 eV per atom; SG = I4mm, No. 107; crystal system = tetragonal; mass density = 7.15 g/cm³; ΔE_f (raw) = -0.29 eV per atom
1.0
-1.3714 -1.3027 1.8037
2.1778 -1.2191 0.7753
0.4190 4.7132 1.8290
Co Cr Si
1 1 1
Cartesian
0.0124 0.0522 0.0472
0.5485 2.3031 2.0805
0.6645 -0.1640 2.2804

---

Number 1: total moment 0.9112 μB per atom. Number 2: total moment 0.4894 μB per atom. Number 3: total moment 0.9675 μB per atom. Number 4: total moment 1.0038 μB per atom. Number 5: total moment 0.3382 μB per atom. Number 6: total moment 0.3761 μB per atom.